(1)
Below is a relaxed structure of MgPa2Si2Ir5, with properties calculated at the PBE level.

```
MgPa2Si2Ir5
1.0
9.6967 0.0000 0.0000
0.0000 9.6967 0.0000
0.0000 0.0000 3.6526
Mg Pa Si Ir
2 4 4 10
Direct
0.0000 0.0000 0.0000 Mg
0.5000 0.5000 0.0000 Mg
0.1769 0.3231 0.0000 Pa
0.3231 0.8231 0.0000 Pa
0.6769 0.1769 0.0000 Pa
0.8231 0.6769 0.0000 Pa
0.1228 0.6228 0.0000 Si
0.3772 0.1228 0.0000 Si
0.6228 0.8772 0.0000 Si
0.8772 0.3772 0.0000 Si
0.0000 0.5000 0.5000 Ir
0.0662 0.7845 0.5000 Ir
0.2155 0.0662 0.5000 Ir
0.2845 0.5662 0.5000 Ir
0.4338 0.2845 0.5000 Ir
0.5000 0.0000 0.5000 Ir
0.5662 0.7155 0.5000 Ir
0.7155 0.4338 0.5000 Ir
0.7845 0.9338 0.5000 Ir
0.9338 0.2155 0.5000 Ir
```

Electronic total energy, Ha/atom: -0.30211
Uncorrected formation energy, eV/atom: -0.647

=====

(2)
Below is a relaxed structure of GeOs, with properties calculated at the PBE level.

```
GeOs
1.0
5.9839 0.0000 0.0000
0.0000 5.9839 0.0000
0.0000 0.0000 4.5768
Ge Os
4 4
Direct
0.2394 0.2394 0.0000 Ge
0.2606 0.7394 0.5000 Ge
0.7394 0.2606 0.5000 Ge
0.7606 0.7606 0.0000 Ge
0.1434 0.1434 0.5000 Os
0.3566 0.6434 0.0000 Os
0.6434 0.3566 0.0000 Os
0.8566 0.8566 0.5000 Os
```

Energy of formation, meV/atom: 844
Electronic total energy, Ha/atom: -0.26016

=====

(3)
Below is a relaxed structure of Sr2EuHo, with properties calculated at the PBE level.

```
Sr2EuHo
1.0
4.2786 0.0000 0.0000
0.0000 4.2786 0.0000
0.0000 0.0000 9.5647
Sr Eu Ho
2 1 1
Direct
0.0000 0.0000 0.2293 Sr
0.0000 0.0000 0.7707 Sr
0.5000 0.5000 0.5000 Eu
0.5000 0.5000 0.0000 Ho
```

Energy of formation, meV/atom: 174
Electronic total energy, Ha/atom: -0.16096
Excess energy over the best structure of this formula in the dataset, meV per atom: 0

=====

(4)
Below is a relaxed structure of Li8CaCu4, with properties calculated at the PBE level.

```
Li8CaCu4
1.0
-4.6183 4.6183 2.5198
4.6183 -4.6183 2.5198
4.6183 4.6183 -2.5198
Li Ca Cu
8 1 4
Direct
0.0000 0.2259 0.2259 Li
0.0000 0.7741 0.7741 Li
0.1525 0.5000 0.6525 Li
0.2259 0.0000 0.2259 Li
0.5000 0.1525 0.6525 Li
0.5000 0.8475 0.3475 Li
0.7741 0.0000 0.7741 Li
0.8475 0.5000 0.3475 Li
0.5000 0.5000 0.0000 Ca
0.0000 0.0000 0.5000 Cu
0.0000 0.5000 0.0000 Cu
0.5000 0.0000 0.0000 Cu
0.5000 0.5000 0.5000 Cu
```

Energy of formation, meV/atom: -37
Electronic total energy, Ha/atom: -0.09662

=====

(5)
Below is a relaxed structure of Na2Zn3RhF12, with properties calculated at the PBE level.

```
Na2Zn3RhF12
1.0
3.5749 2.0640 6.4531
-3.5749 2.0640 6.4531
0.0000 -4.1279 6.4531
Na Zn Rh F
2 3 1 12
Direct
0.0779 0.0779 0.0779 Na
0.9221 0.9221 0.9221 Na
0.0000 0.5000 0.5000 Zn
0.5000 0.0000 0.5000 Zn
0.5000 0.5000 0.0000 Zn
0.5000 0.5000 0.5000 Rh
0.1621 0.1621 0.5904 F
0.1621 0.5904 0.1621 F
0.1843 0.5717 0.5717 F
0.4096 0.8379 0.8379 F
0.4283 0.4283 0.8157 F
0.4283 0.8157 0.4283 F
0.5717 0.1843 0.5717 F
0.5717 0.5717 0.1843 F
0.5904 0.1621 0.1621 F
0.8157 0.4283 0.4283 F
0.8379 0.4096 0.8379 F
0.8379 0.8379 0.4096 F
```

Electronic total energy, Ha/atom: -0.15203
Uncorrected formation energy, eV/atom: -2.122

=====

(6)
Below is a relaxed structure of Th8Sn2Mo, with properties calculated at the PBE level.

```
Th8Sn2Mo
1.0
9.3005 -2.7629 0.0000
9.3005 2.7629 0.0000
-2.3756 0.0000 6.4845
Th Sn Mo
8 2 1
Direct
0.0026 0.0026 0.2410 Th
0.2177 0.2177 0.1265 Th
0.3557 0.3557 0.6804 Th
0.4070 0.4070 0.2520 Th
0.5930 0.5930 0.7480 Th
0.6443 0.6443 0.3196 Th
0.7823 0.7823 0.8735 Th
0.9974 0.9974 0.7590 Th
0.1702 0.1702 0.6179 Sn
0.8298 0.8298 0.3821 Sn
0.5000 0.5000 0.0000 Mo
```

Energy of formation, meV/atom: -54
Electronic total energy, Ha/atom: -0.26323